A plane-wave DFT calculation with PBE-GGA was carried out for a relaxed structure of SrBePN3.

Its mass density is 3.7 g/cm3. The total energy comes out at -159.12 eV/cell. The uncorrected formation energy is -385 kJ/mol of formula units.

The structure belongs to space group C2/m (No. 12); the cell edges are 13.2034, 3.1137 and 9.3451 Å and the angles 90.00°, 127.10° and 90.00°. The inequivalent atoms are Sr at (0.2342, 0.0000, 0.3009), Be at (0.1871, 0.0000, 0.9340), P at (0.0298, 0.5000, 0.7402), N at (0.0869, 0.0000, 0.7106), N at (0.1144, 0.5000, 0.3485) and N at (0.1493, 0.5000, 0.9682).

---

A plane-wave DFT calculation with PBE-GGA was carried out for a relaxed structure of Ho3As2C.

Its mass density is 8.4 g/cm3. The total energy comes out at -151.12 eV/cell. As for the formation energy: -0.921 eV/atom.

The structure belongs to space group C2/c (No. 15); the cell edges are 12.6743, 5.6946 and 7.5216 Å and the angles 90.00°, 107.24° and 90.00°. The inequivalent atoms are Ho at (0.0000, 0.0318, 0.2500), Ho at (0.1403, 0.4995, 0.5702), As at (0.1746, 0.0008, 0.0872) and C at (0.0000, 0.4660, 0.2500).

---

A plane-wave DFT calculation with PBE-GGA was carried out for a relaxed structure of Pm12Cu6Rh.

Its mass density is 6.6 g/cm3. The total energy comes out at -267.46 eV/cell. As for the formation energy: -0.011 eV/atom.

The structure belongs to space group R-3 (No. 148, hexagonal axes); the cell edges are 12.5425, 12.5425 and 12.2555 Å and the angles 90.00°, 90.00° and 120.00°. The inequivalent atoms are Pm at (0.0254, 0.8252, 0.3901), Pm at (0.0359, 0.8379, 0.8755), Cu at (0.0451, 0.7731, 0.6450) and Rh at (0.0000, 0.0000, 0.0000).

---

A plane-wave DFT calculation with PBE-GGA was carried out for a relaxed structure of Na4Sm3NpSe8.

Its mass density is 5.4 g/cm3. The total energy comes out at -255.79 eV/cell. The uncorrected formation energy is -2413 kJ/mol of formula units.

The structure belongs to space group R-3m (No. 166, hexagonal axes); the cell edges are 8.4628, 8.4628 and 20.9943 Å and the angles 90.00°, 90.00° and 120.00°. The inequivalent atoms are Na at (0.0000, 0.0000, 0.0000), Na at (0.0000, 0.5000, 0.0000), Sm at (0.0000, 0.5000, 0.5000), Np at (0.0000, 0.0000, 0.5000), Se at (0.0000, 0.0000, 0.2449) and Se at (0.0010, 0.5005, 0.2443).

---

A plane-wave DFT calculation with PBE-GGA was carried out for a relaxed structure of HPtPb.

Its mass density is 12.8 g/cm3. The total energy comes out at -26.81 eV/cell. As for the excess energy over the best structure of this formula in the dataset: 0 meV/atom.

The structure belongs to space group P2_1/m (No. 11); the cell edges are 5.6070, 3.6628 and 5.6850 Å and the angles 90.00°, 116.22° and 90.00°. The inequivalent atoms are H at (0.0909, 0.2500, 0.1595), Pt at (0.1178, 0.7500, 0.2166) and Pb at (0.3262, 0.2500, 0.6609).

---

A plane-wave DFT calculation with PBE-GGA was carried out for a relaxed structure of ZrGaPb2.

Its mass density is 9.3 g/cm3. The total energy comes out at -72.43 eV/cell. As for the formation energy: 0.221 eV/atom.

The structure belongs to space group I-42d (No. 122); the cell edges are 8.2104, 8.2104 and 6.1103 Å and the angles 90.00°, 90.00° and 90.00°. The inequivalent atoms are Zr at (0.0000, 0.0000, 0.0000), Ga at (0.0000, 0.0000, 0.5000) and Pb at (0.2338, 0.2500, 0.6250).

---

A plane-wave DFT calculation with PBE-GGA was carried out for a relaxed structure of Y3Al3Au8.

Its mass density is 11.4 g/cm3. The total energy comes out at -133.62 eV/cell. As for the formation energy: -0.712 eV/atom.

The structure belongs to space group C2/m (No. 12); the cell edges are 16.0989, 4.6103 and 8.9492 Å and the angles 90.00°, 122.51° and 90.00°. The inequivalent atoms are Y at (0.0000, 0.0000, 0.0000), Y at (0.2083, 0.5000, 0.7279), Al at (0.0000, 0.0000, 0.5000), Al at (0.1669, 0.5000, 0.3282), Au at (0.0073, 0.5000, 0.3403), Au at (0.1312, 0.0000, 0.8392), Au at (0.1424, 0.0000, 0.4310) and Au at (0.1490, 0.5000, 0.0363).

---

A plane-wave DFT calculation with PBE-GGA was carried out for a relaxed structure of Te2PtRh.

Its mass density is 10.0 g/cm3. The total energy comes out at -20.60 eV/cell. The uncorrected formation energy is -89 kJ/mol of formula units. As for the excess energy over the best structure of this formula in the dataset: 24 meV/atom.

The structure belongs to space group P4mm (No. 99); the cell edges are 3.6073, 3.6073 and 7.0681 Å and the angles 90.00°, 90.00° and 90.00°. The inequivalent atoms are Te at (0.0000, 0.0000, 0.0000), Te at (0.5000, 0.5000, 0.4775), Pt at (0.0000, 0.0000, 0.6232) and Rh at (0.5000, 0.5000, 0.8497).

---

Question: What is the mass density in the seventh record?
Answer: 11.4 g/cm3